Compound: Li3Ti4O8
Source: the Alexandria database
Functional: GGA-PBEsol
Structure: optimized geometry

Total moment   0.0 μB/cell
Relative energy among the computed polymorphs   0.000 eV/f.u.
Calculated volume   9.540 Å³ per atom
Formation energy from raw total energies   -2.74 eV per atom

a b c (Å): 5.8931 5.8931 5.8931
angles (deg): 59.51 59.51 59.51
Fractional positions:
Li: 0.0000 0.5000 0.5000
Li: 0.5000 0.0000 0.5000
Li: 0.5000 0.5000 0.0000
Ti: 0.0000 0.0000 0.0000
Ti: 0.0000 0.0000 0.5000
Ti: 0.0000 0.5000 0.0000
Ti: 0.5000 0.0000 0.0000
O: 0.2241 0.7617 0.7617
O: 0.2383 0.2383 0.7759
O: 0.2383 0.7759 0.2383
O: 0.2453 0.2453 0.2453
O: 0.7547 0.7547 0.7547
O: 0.7617 0.2241 0.7617
O: 0.7617 0.7617 0.2241
O: 0.7759 0.2383 0.2383